Tl2ZnIr: relaxed, GGA-PBE.

E_tot	-3.24	eV/atom
DOS(E_F)	1.68	states/eV/f.u.
magnetization	0.000	μB per cell
space group	C2/m

a = 5.041 Å, b = 5.041 Å, c = 5.133 Å
α = 99.47°, β = 99.47°, γ = 38.77°
Sites, in units of the cell vectors:
Tl 0.243 0.243 0.243
Tl 0.757 0.757 0.757
Zn 0.000 0.000 0.500
Ir 0.500 0.500 0.000

---

NaTl: relaxed, GGA-PBE.

E_tot	-1.61	eV/atom
DOS(E_F)	1.78	states/eV/f.u.
magnetization	0.000	μB per cell
space group	I-43m

a = 8.528 Å, b = 8.528 Å, c = 8.528 Å
α = 109.47°, β = 109.47°, γ = 109.47°
Sites, in units of the cell vectors:
Na 0.000 0.000 0.592
Na 0.000 0.592 0.000
Na 0.408 0.408 0.408
Na 0.592 0.000 0.000
Tl 0.000 0.000 0.233
Tl 0.000 0.233 0.000
Tl 0.233 0.000 0.000
Tl 0.767 0.767 0.767

---

CeErTl4: relaxed, GGA-PBE.

E_tot	-3.28	eV/atom
DOS(E_F)	9.03	states/eV/f.u.
magnetization	0.953	μB per cell
space group	C2/m

a = 5.165 Å, b = 5.165 Å, c = 7.396 Å
α = 90.05°, β = 90.05°, γ = 90.00°
Sites, in units of the cell vectors:
Ce 0.000 0.000 0.000
Er 0.500 0.500 0.500
Tl 0.000 0.500 0.265
Tl 0.000 0.500 0.735
Tl 0.500 0.000 0.265
Tl 0.500 0.000 0.735